No. 1
Density functional theory data (GGA-PBE) for a relaxed La2Pm6Ho3Mg crystal.

abc: 6.242 6.242 11.927
angles: 95.06 95.06 120.06
Fractional positions:
Ho: 0.500 0.500 0.500
Ho: 0.834 0.166 0.500
Ho: 0.166 0.834 0.500
La: 0.333 0.667 0.000
La: 0.667 0.333 0.000
Pm: 0.587 0.916 0.746
Pm: 0.084 0.413 0.254
Pm: 0.754 0.754 0.255
Pm: 0.413 0.084 0.254
Pm: 0.246 0.246 0.745
Pm: 0.916 0.587 0.746
Mg: 0.000 0.000 0.000

formation energy = 0.011 eV per atom

No. 2
Density functional theory data (GGA-PBE) for a relaxed LaPm2HoMg crystal.

abc: 5.696 6.287 9.556
angles: 70.01 90.00 90.00
Fractional positions:
Ho: 0.750 0.157 0.998
Ho: 0.250 0.843 0.002
Mg: 0.750 0.580 0.189
Mg: 0.250 0.420 0.811
Pm: 0.750 0.983 0.392
Pm: 0.250 0.017 0.608
Pm: 0.250 0.256 0.197
Pm: 0.750 0.744 0.803
La: 0.250 0.648 0.388
La: 0.750 0.352 0.612

formation energy = 0.017 eV per atom

No. 3
Density functional theory data (GGA-PBE) for a relaxed La2Pm5HoMg crystal.

abc: 5.599 10.514 10.779
angles: 90.00 90.00 105.44
Fractional positions:
Mg: 0.404 0.809 0.508
Mg: 0.596 0.191 0.008
Pm: 0.500 0.000 0.258
Pm: 0.985 0.970 0.508
Pm: 0.713 0.425 0.205
Pm: 0.287 0.573 0.312
Pm: 0.713 0.427 0.812
Pm: 0.380 0.760 0.008
Pm: 0.620 0.240 0.508
Pm: 0.287 0.575 0.705
Pm: 0.500 0.000 0.758
Pm: 0.015 0.030 0.008
Ho: 0.202 0.405 0.008
Ho: 0.798 0.595 0.508
La: 0.884 0.768 0.218
La: 0.116 0.232 0.299
La: 0.884 0.768 0.799
La: 0.116 0.232 0.718

formation energy = 0.083 eV per atom

No. 4
Density functional theory data (GGA-PBE) for a relaxed La2Pm6HoMg crystal.

abc: 9.959 8.756 8.756
angles: 116.18 95.65 95.65
Fractional positions:
Pm: 0.448 0.256 0.878
Pm: 0.385 0.500 0.301
Pm: 0.692 0.006 0.578
Pm: 0.615 0.500 0.699
Pm: 0.885 0.301 0.500
Pm: 0.552 0.744 0.122
Pm: 0.115 0.699 0.500
Pm: 0.052 0.122 0.744
Pm: 0.948 0.878 0.256
Pm: 0.192 0.578 0.006
Pm: 0.308 0.994 0.422
Pm: 0.808 0.422 0.994
Mg: 0.750 0.598 0.402
Mg: 0.250 0.402 0.598
La: 0.950 0.706 0.796
La: 0.450 0.796 0.706
La: 0.550 0.204 0.294
La: 0.050 0.294 0.204
Ho: 0.250 0.990 0.010
Ho: 0.750 0.010 0.990

formation energy = 0.102 eV per atom

No. 5
Density functional theory data (GGA-PBE) for a relaxed La3Pm6Ho2Mg crystal.

abc: 6.297 6.297 11.939
angles: 95.07 95.07 120.05
Fractional positions:
Pm: 0.920 0.589 0.758
Pm: 0.411 0.080 0.242
Pm: 0.589 0.920 0.758
Pm: 0.080 0.411 0.242
Pm: 0.749 0.749 0.243
Pm: 0.251 0.251 0.757
Ho: 0.667 0.333 0.000
Ho: 0.333 0.667 0.000
Mg: 0.000 0.000 0.000
La: 0.832 0.168 0.500
La: 0.168 0.832 0.500
La: 0.500 0.500 0.500

formation energy = 0.033 eV per atom

No. 6
Density functional theory data (GGA-PBE) for a relaxed La2Pm2HoMg5 crystal.

abc: 5.153 10.696 10.696
angles: 90.00 90.00 90.00
Fractional positions:
Mg: 0.500 0.195 0.071
Mg: 0.500 0.000 0.500
Mg: 0.500 0.695 0.429
Mg: 0.500 0.071 0.805
Mg: 0.500 0.929 0.195
Mg: 0.500 0.571 0.695
Mg: 0.500 0.305 0.571
Mg: 0.500 0.805 0.929
Mg: 0.500 0.500 0.000
Mg: 0.500 0.429 0.305
La: 0.000 0.675 0.175
La: 0.000 0.175 0.325
La: 0.000 0.325 0.825
La: 0.000 0.825 0.675
Pm: 0.000 0.623 0.877
Pm: 0.000 0.877 0.377
Pm: 0.000 0.377 0.123
Pm: 0.000 0.123 0.623
Ho: 0.000 0.500 0.500
Ho: 0.000 0.000 0.000

formation energy = 0.002 eV per atom

No. 7
Density functional theory data (GGA-PBE) for a relaxed La2Pm4HoMg crystal.

abc: 9.532 8.117 6.259
angles: 121.35 130.88 89.92
Fractional positions:
Pm: 0.051 0.922 0.479
Pm: 0.797 0.425 0.218
Pm: 0.296 0.921 0.220
Pm: 0.549 0.426 0.466
Mg: 0.801 0.925 0.724
La: 0.552 0.925 0.975
La: 0.293 0.419 0.713
Ho: 0.048 0.424 0.978

formation energy = 0.009 eV per atom

No. 8
Density functional theory data (GGA-PBE) for a relaxed La4Pm2HoMg crystal.

abc: 5.158 5.158 11.423
angles: 63.15 90.00 90.00
Fractional positions:
Pm: 0.500 0.000 0.500
Pm: 0.000 0.000 0.000
La: 0.000 0.747 0.753
La: 0.500 0.752 0.247
La: 0.500 0.248 0.753
La: 0.000 0.253 0.247
Ho: 0.000 0.500 0.500
Mg: 0.500 0.500 0.000

formation energy = 0.001 eV per atom

Which of these has the lowest formation energy? La4Pm2HoMg